CdTeN2O | PBEsol | optimized geometry

Cell: 4.0073 4.0073 3.9247 Å, 90.00 90.00 90.00°
Space group P4/mmm (No. 123)
Asymmetric unit:
Cd  0.0000  0.0000  0.0000
Te  0.5000  0.5000  0.5000
N  0.0000  0.5000  0.5000
O  0.5000  0.5000  0.0000

Summary:
The value obtained for the formation energy (no corrections) is 0.6262 eV per atom. For the magnetic moment, the calculation gives 0.0 μB/f.u.